1.
# SrHfTe3 PBE-GGA optimized geometry
data_SrHfTe3
_space_group_name_H-M_alt 'C 1 2/m 1'
_space_group_IT_number 12
_space_group_name_Hall '-C 2y'
_cell_length_a 7.6062
_cell_length_b 12.7868
_cell_length_c 8.3093
_cell_angle_alpha 90.00
_cell_angle_beta 110.94
_cell_angle_gamma 90.00
loop_
_atom_site_label
_atom_site_type_symbol
_atom_site_fract_x
_atom_site_fract_y
_atom_site_fract_z
_atom_site_occupancy
Sr1 Sr 0.0000 0.0000 0.0000 1
Sr2 Sr 0.0000 0.5000 0.5000 1
Hf1 Hf 0.0000 0.1656 0.5000 1
Te1 Te 0.2207 0.0000 0.7231 1
Te2 Te 0.2220 0.1874 0.2793 1
# V (Å³/f.u.): 188.7
# DOS(E_F) (states/eV per cell): 0.00
# ΔE to the lowest computed polymorph (meV/atom): 6.4
# Formation energy (no corrections) (kJ/mol of formula units): -541

***

2.
# SrHfTe3 PBE-GGA optimized geometry
data_SrHfTe3
_space_group_name_H-M_alt 'P 1 21/m 1'
_space_group_IT_number 11
_space_group_name_Hall '-P 2yb'
_cell_length_a 4.4305
_cell_length_b 16.9264
_cell_length_c 7.8662
_cell_angle_alpha 90.00
_cell_angle_beta 106.36
_cell_angle_gamma 90.00
loop_
_atom_site_label
_atom_site_type_symbol
_atom_site_fract_x
_atom_site_fract_y
_atom_site_fract_z
_atom_site_occupancy
Sr1 Sr 0.1147 0.2500 0.2446 1
Hf1 Hf 0.4075 0.2500 0.8304 1
Te1 Te 0.2085 0.7500 0.4017 1
Te2 Te 0.4829 0.6261 0.9504 1
# V (Å³/f.u.): 283.0
# DOS(E_F) (states/eV per cell): 0.00
# ΔE to the lowest computed polymorph (meV/atom): 243.1
# Formation energy (no corrections) (kJ/mol of formula units): -427

***

3.
# SrHfTe3 PBE-GGA optimized geometry
data_SrHfTe3
_space_group_name_H-M_alt 'P n m a'
_space_group_IT_number 62
_space_group_name_Hall '-P 2ac 2n'
_cell_length_a 6.9720
_cell_length_b 13.1539
_cell_length_c 8.7349
_cell_angle_alpha 90.00
_cell_angle_beta 90.00
_cell_angle_gamma 90.00
loop_
_atom_site_label
_atom_site_type_symbol
_atom_site_fract_x
_atom_site_fract_y
_atom_site_fract_z
_atom_site_occupancy
Sr1 Sr 0.0000 0.0000 0.0000 1
Hf1 Hf 0.1447 0.2500 0.2675 1
Te1 Te 0.0807 0.7500 0.0241 1
Te2 Te 0.0964 0.5926 0.6332 1
# V (Å³/f.u.): 200.3
# DOS(E_F) (states/eV per cell): 0.00
# ΔE to the lowest computed polymorph (meV/atom): 49.1
# Formation energy (no corrections) (kJ/mol of formula units): -520

***

4.
# SrHfTe2 PBE-GGA optimized geometry
data_SrHfTe2
_space_group_name_H-M_alt 'I -4 2 d'
_space_group_IT_number 122
_space_group_name_Hall 'I -4 2bw'
_cell_length_a 6.9155
_cell_length_b 6.9155
_cell_length_c 13.9552
_cell_angle_alpha 90.00
_cell_angle_beta 90.00
_cell_angle_gamma 90.00
loop_
_atom_site_label
_atom_site_type_symbol
_atom_site_fract_x
_atom_site_fract_y
_atom_site_fract_z
_atom_site_occupancy
Sr1 Sr 0.0000 0.0000 0.0000 1
Hf1 Hf 0.0000 0.0000 0.5000 1
Te1 Te 0.1962 0.2500 0.6250 1
# V (Å³/f.u.): 166.8
# DOS(E_F) (states/eV per cell): 18.40
# ΔE to the lowest computed polymorph (meV/atom): 131.0
# Formation energy (no corrections) (kJ/mol of formula units): -216

***

5.
# SrHfTe3 PBE-GGA optimized geometry
data_SrHfTe3
_space_group_name_H-M_alt 'C 1 2/c 1'
_space_group_IT_number 15
_space_group_name_Hall '-C 2yc'
_cell_length_a 16.4239
_cell_length_b 14.6803
_cell_length_c 7.4872
_cell_angle_alpha 90.00
_cell_angle_beta 90.03
_cell_angle_gamma 90.00
loop_
_atom_site_label
_atom_site_type_symbol
_atom_site_fract_x
_atom_site_fract_y
_atom_site_fract_z
_atom_site_occupancy
Sr1 Sr 0.0000 0.0979 0.2500 1
Sr2 Sr 0.0000 0.2707 0.7500 1
Hf1 Hf 0.2212 0.2098 0.7697 1
Te1 Te 0.1075 0.0821 0.8698 1
Te2 Te 0.1357 0.2511 0.4362 1
Te3 Te 0.1700 0.3607 0.9513 1
# V (Å³/f.u.): 225.7
# DOS(E_F) (states/eV per cell): 0.00
# ΔE to the lowest computed polymorph (meV/atom): 149.4
# Formation energy (no corrections) (kJ/mol of formula units): -472

***

6.
# SrHfTe3 PBE-GGA optimized geometry
data_SrHfTe3
_space_group_name_H-M_alt 'P 63/m m c'
_space_group_IT_number 194
_space_group_name_Hall '-P 6c 2c'
_cell_length_a 5.5212
_cell_length_b 5.5212
_cell_length_c 11.5298
_cell_angle_alpha 90.00
_cell_angle_beta 90.00
_cell_angle_gamma 120.00
loop_
_atom_site_label
_atom_site_type_symbol
_atom_site_fract_x
_atom_site_fract_y
_atom_site_fract_z
_atom_site_occupancy
Sr1 Sr 0.3333 0.6667 0.2500 1
Hf1 Hf 0.0000 0.0000 0.0000 1
Te1 Te 0.0000 0.0000 0.2500 1
Te2 Te 0.3333 0.6667 0.5340 1
# V (Å³/f.u.): 152.2
# DOS(E_F) (states/eV per cell): 4.11
# ΔE to the lowest computed polymorph (meV/atom): 249.5
# Formation energy (no corrections) (kJ/mol of formula units): -424

***

7.
# SrHfTe3 PBE-GGA optimized geometry
data_SrHfTe3
_space_group_name_H-M_alt 'P 4 m m'
_space_group_IT_number 99
_space_group_name_Hall 'P 4 -2'
_cell_length_a 5.5086
_cell_length_b 5.5086
_cell_length_c 6.3658
_cell_angle_alpha 90.00
_cell_angle_beta 90.00
_cell_angle_gamma 90.00
loop_
_atom_site_label
_atom_site_type_symbol
_atom_site_fract_x
_atom_site_fract_y
_atom_site_fract_z
_atom_site_occupancy
Sr1 Sr 0.0000 0.0000 0.0000 1
Hf1 Hf 0.5000 0.5000 0.5850 1
Te1 Te 0.0000 0.5000 0.7031 1
Te2 Te 0.5000 0.5000 0.1664 1
# V (Å³/f.u.): 193.2
# DOS(E_F) (states/eV per cell): 0.00
# ΔE to the lowest computed polymorph (meV/atom): 210.2
# Formation energy (no corrections) (kJ/mol of formula units): -443

***

8.
# SrHfTe3 PBE-GGA optimized geometry
data_SrHfTe3
_space_group_name_H-M_alt 'P 1'
_space_group_IT_number 1
_space_group_name_Hall 'P 1'
_cell_length_a 6.7709
_cell_length_b 7.9744
_cell_length_c 8.0449
_cell_angle_alpha 114.82
_cell_angle_beta 100.89
_cell_angle_gamma 101.10
loop_
_atom_site_label
_atom_site_type_symbol
_atom_site_fract_x
_atom_site_fract_y
_atom_site_fract_z
_atom_site_occupancy
Sr1 Sr 0.0000 0.0000 0.0000 1
Sr2 Sr 0.3773 0.4730 0.6851 1
Hf1 Hf 0.0866 0.8172 0.4581 1
Hf2 Hf 0.5907 0.8181 0.4714 1
Te1 Te 0.2359 0.4844 0.2650 1
Te2 Te 0.3847 0.0435 0.3505 1
Te3 Te 0.4568 0.9435 0.8113 1
Te4 Te 0.7445 0.6866 0.1277 1
Te5 Te 0.8378 0.5929 0.5887 1
Te6 Te 0.9718 0.1536 0.6730 1
# V (Å³/f.u.): 184.4
# DOS(E_F) (states/eV per cell): 0.00
# ΔE to the lowest computed polymorph (meV/atom): 24.0
# Formation energy (no corrections) (kJ/mol of formula units): -532

***

9.
# SrHfTe3 PBE-GGA optimized geometry
data_SrHfTe3
_space_group_name_H-M_alt 'R 3 m'
_space_group_IT_number 160
_space_group_name_Hall 'R 3 -2"'
_cell_length_a 7.7688
_cell_length_b 7.7688
_cell_length_c 12.0218
_cell_angle_alpha 90.00
_cell_angle_beta 90.00
_cell_angle_gamma 120.00
loop_
_atom_site_label
_atom_site_type_symbol
_atom_site_fract_x
_atom_site_fract_y
_atom_site_fract_z
_atom_site_occupancy
Sr1 Sr 0.0000 0.0000 0.0000 1
Hf1 Hf 0.0000 0.0000 0.3632 1
Te1 Te 0.1775 0.3549 0.4535 1
# V (Å³/f.u.): 209.5
# DOS(E_F) (states/eV per cell): 0.43
# ΔE to the lowest computed polymorph (meV/atom): 706.5
# Formation energy (no corrections) (kJ/mol of formula units): -203

***

10.
# Sr3HfTe PBE-GGA optimized geometry
data_Sr3HfTe
_space_group_name_H-M_alt 'P m -3 m'
_space_group_IT_number 221
_space_group_name_Hall '-P 4 2 3'
_cell_length_a 6.0174
_cell_length_b 6.0174
_cell_length_c 6.0174
_cell_angle_alpha 90.00
_cell_angle_beta 90.00
_cell_angle_gamma 90.00
loop_
_atom_site_label
_atom_site_type_symbol
_atom_site_fract_x
_atom_site_fract_y
_atom_site_fract_z
_atom_site_occupancy
Sr1 Sr 0.0000 0.0000 0.5000 1
Hf1 Hf 0.0000 0.0000 0.0000 1
Te1 Te 0.5000 0.5000 0.5000 1
# V (Å³/f.u.): 217.9
# DOS(E_F) (states/eV per cell): 7.17
# ΔE to the lowest computed polymorph (meV/atom): 366.5
# Formation energy (no corrections) (kJ/mol of formula units): 296

***

11.
# Sr2HfTeW PBE-GGA optimized geometry
data_Sr2HfTeW
_space_group_name_H-M_alt 'P 4/m m m'
_space_group_IT_number 123
_space_group_name_Hall '-P 4 2'
_cell_length_a 6.2287
_cell_length_b 6.2287
_cell_length_c 4.7823
_cell_angle_alpha 90.00
_cell_angle_beta 90.00
_cell_angle_gamma 90.00
loop_
_atom_site_label
_atom_site_type_symbol
_atom_site_fract_x
_atom_site_fract_y
_atom_site_fract_z
_atom_site_occupancy
Sr1 Sr 0.0000 0.5000 0.0000 1
Hf1 Hf 0.0000 0.0000 0.0000 1
Te1 Te 0.5000 0.5000 0.5000 1
W1 W 0.0000 0.0000 0.5000 1
# V (Å³/f.u.): 185.5
# DOS(E_F) (states/eV per cell): 4.56
# Formation energy (no corrections) (kJ/mol of formula units): 471

***

12.
# SrHfTh2 PBE-GGA optimized geometry
data_SrHfTh2
_space_group_name_H-M_alt 'R -3 m'
_space_group_IT_number 166
_space_group_name_Hall '-R 3 2"'
_cell_length_a 3.4709
_cell_length_b 3.4709
_cell_length_c 37.7571
_cell_angle_alpha 90.00
_cell_angle_beta 90.00
_cell_angle_gamma 120.00
loop_
_atom_site_label
_atom_site_type_symbol
_atom_site_fract_x
_atom_site_fract_y
_atom_site_fract_z
_atom_site_occupancy
Sr1 Sr 0.0000 0.0000 0.0000 1
Hf1 Hf 0.0000 0.0000 0.5000 1
Th1 Th 0.0000 0.0000 0.0949 1
# V (Å³/f.u.): 131.3
# Formation energy from the elements (meV/atom): 396
# DOS(E_F) (states/eV per cell): 23.40

***

no.,total moment (Bohr magnetons per cell)
1,0.00
2,0.00
3,0.00
4,6.40
5,0.00
6,0.00
7,0.00
8,0.00
9,0.00
10,2.77
11,0.40
12,0.00